First-principles (GGA-PBEsol) data for a relaxed CoBrCl crystal, as listed in Alexandria via LeMat-Bulk.

Unit cell a=3.112 b=3.112 c=12.457 alpha=90.00 beta=90.00 gamma=90.00
Fractional coordinates of all 6 atoms:
Co 0.000 0.000 0.000
Co 0.500 0.500 0.500
Br 0.000 0.000 0.628
Br 0.500 0.500 0.128
Cl 0.000 0.000 0.387
Cl 0.500 0.500 0.887

Values from the calculation:
- ΔE to the lowest computed polymorph: 0.409 eV per atom
- Total energy: -3.8133 eV per atom
- Formation energy (no corrections): 0.058 eV/atom
- DOS(E_F): 0.74 states/eV/atom
- Size of the total moment: 5.9 Bohr magnetons per cell
- Symmetry: No. 107